[1]
MnRe2Cl at its PBEsol-relaxed geometry. Source: Alexandria, functional SCAN.

a b c (Å): 2.8858 2.8858 6.4638
angles (deg): 90.00 90.00 90.00
Space group P4/mmm (No. 123)
Symmetry-distinct sites (fractional):
Mn  0.0000  0.0000  0.0000 x1
Re  0.5000  0.5000  0.2285 x2
Cl  0.0000  0.0000  0.5000 x1

polymorph energy (0 for the lowest one)	0.531	eV per atom


[2]
MnRe2Cl at its PBEsol-relaxed geometry. Source: Alexandria, functional SCAN.

a b c (Å): 2.9247 2.9247 7.1802
angles (deg): 90.00 90.00 90.00
Space group P4mm (No. 99)
Symmetry-distinct sites (fractional):
Mn  0.0000  0.0000  0.0000 x1
Re  0.0000  0.0000  0.4644 x1
Re  0.5000  0.5000  0.2538 x1
Cl  0.5000  0.5000  0.7435 x1

polymorph energy (0 for the lowest one)	0.000	eV per atom


[3]
MnRe2Cl at its PBEsol-relaxed geometry. Source: Alexandria, functional SCAN.

a b c (Å): 4.5218 2.7868 4.8004
angles (deg): 90.00 109.26 90.00
Space group P2/m (No. 10)
Symmetry-distinct sites (fractional):
Mn  0.0000  0.0000  0.0000 x1
Re  0.5000  0.0000  0.5000 x1
Re  0.5000  0.5000  0.0000 x1
Cl  0.0000  0.5000  0.5000 x1

polymorph energy (0 for the lowest one)	0.687	eV per atom


[4]
MnRe2Cl at its PBEsol-relaxed geometry. Source: Alexandria, functional SCAN.

a b c (Å): 2.7552 4.4985 4.6281
angles (deg): 90.00 90.00 90.00
Space group Pmmm (No. 47)
Symmetry-distinct sites (fractional):
Mn  0.0000  0.0000  0.0000 x1
Re  0.0000  0.5000  0.5000 x1
Re  0.5000  0.5000  0.0000 x1
Cl  0.5000  0.0000  0.5000 x1

polymorph energy (0 for the lowest one)	0.681	eV per atom


[5]
MnRhCl2 at its PBEsol-relaxed geometry. Source: Alexandria, functional SCAN.

a b c (Å): 3.0192 5.5528 7.7507
angles (deg): 90.00 90.00 90.00
Space group Cmmm (No. 65)
Symmetry-distinct sites (fractional):
Mn  0.0000  0.0000  0.0000 x2
Rh  0.0000  0.0000  0.5000 x2
Cl  0.0000  0.5000  0.2390 x4

polymorph energy (0 for the lowest one)	0.233	eV per atom


[6]
MnRhCl2 at its PBEsol-relaxed geometry. Source: Alexandria, functional SCAN.

a b c (Å): 4.3335 4.3335 3.2051
angles (deg): 90.00 90.00 90.00
Space group P4/mmm (No. 123)
Symmetry-distinct sites (fractional):
Mn  0.0000  0.0000  0.0000 x1
Rh  0.5000  0.5000  0.0000 x1
Cl  0.0000  0.5000  0.5000 x2

polymorph energy (0 for the lowest one)	0.336	eV per atom


[7]
MnRhCl2 at its PBEsol-relaxed geometry. Source: Alexandria, functional SCAN.

a b c (Å): 3.0034 3.0034 7.5729
angles (deg): 90.00 90.00 90.00
Space group P4mm (No. 99)
Symmetry-distinct sites (fractional):
Mn  0.0000  0.0000  0.0000 x1
Rh  0.5000  0.5000  0.2132 x1
Cl  0.0000  0.0000  0.4115 x1
Cl  0.5000  0.5000  0.8041 x1

polymorph energy (0 for the lowest one)	0.000	eV per atom


[8]
MnRhCl2 at its PBEsol-relaxed geometry. Source: Alexandria, functional SCAN.

a b c (Å): 3.1094 3.1094 23.3392
angles (deg): 90.00 90.00 120.00
Space group R-3m (No. 166, hexagonal axes)
Symmetry-distinct sites (fractional):
Mn  0.0000  0.0000  0.0000 x3
Rh  0.0000  0.0000  0.5000 x3
Cl  0.0000  0.0000  0.4029 x6

polymorph energy (0 for the lowest one)	0.034	eV per atom


[9]
MnRhSCl2 at its PBEsol-relaxed geometry. Source: Alexandria, functional SCAN.

a b c (Å): 4.4905 4.4905 4.7303
angles (deg): 90.00 90.00 90.00
Space group P4/mmm (No. 123)
Symmetry-distinct sites (fractional):
Mn  0.0000  0.0000  0.0000 x1
Rh  0.5000  0.5000  0.5000 x1
S  0.0000  0.0000  0.5000 x1
Cl  0.0000  0.5000  0.0000 x2

energy	-77.97	eV/cell


[10]
MnRu2Cl at its PBEsol-relaxed geometry. Source: Alexandria, functional SCAN.

a b c (Å): 2.9260 2.9260 6.3675
angles (deg): 90.00 90.00 90.00
Space group P4/mmm (No. 123)
Symmetry-distinct sites (fractional):
Mn  0.0000  0.0000  0.0000 x1
Ru  0.5000  0.5000  0.2172 x2
Cl  0.0000  0.0000  0.5000 x1

polymorph energy (0 for the lowest one)	0.000	eV per atom


[11]
MnRuCl at its PBEsol-relaxed geometry. Source: Alexandria, functional SCAN.

a b c (Å): 4.0661 4.0661 2.9279
angles (deg): 90.00 90.00 120.00
Space group P3m1 (No. 156)
Symmetry-distinct sites (fractional):
Mn  0.0000  0.0000  0.0000 x1
Ru  0.3333  0.6667  0.4947 x1
Cl  0.6667  0.3333  0.5470 x1

energy	-60.02	eV/cell


[12]
MnRu2Cl at its PBEsol-relaxed geometry. Source: Alexandria, functional SCAN.

a b c (Å): 2.7979 4.3670 8.8313
angles (deg): 90.00 90.00 90.00
Space group Immm (No. 71)
Symmetry-distinct sites (fractional):
Mn  0.0000  0.0000  0.0000 x2
Ru  0.0000  0.5000  0.2244 x4
Cl  0.0000  0.0000  0.5000 x2

polymorph energy (0 for the lowest one)	0.200	eV per atom


Number 1: volume 53.8 Å³ per cell, N(E_F) 3.7 states/eV per cell. Number 2: volume 61.4 Å³ per cell, N(E_F) 1.7 states/eV per cell. Number 3: volume 57.1 Å³ per cell, N(E_F) 3.4 states/eV per cell. Number 4: volume 57.4 Å³ per cell, N(E_F) 4.1 states/eV per cell. Number 5: volume 129.9 Å³ per cell, N(E_F) 3.5 states/eV per cell. Number 6: volume 60.2 Å³ per cell, N(E_F) 1.9 states/eV per cell. Number 7: volume 68.3 Å³ per cell, N(E_F) 2.8 states/eV per cell. Number 8: volume 195.4 Å³ per cell, N(E_F) 5.8 states/eV per cell. Number 9: volume 95.4 Å³ per cell, N(E_F) 3.8 states/eV per cell. Number 10: volume 54.5 Å³ per cell, N(E_F) 2.7 states/eV per cell. Number 11: volume 41.9 Å³ per cell, N(E_F) 2.5 states/eV per cell. Number 12: volume 107.9 Å³ per cell, N(E_F) 5.9 states/eV per cell.